Record 1
A geometry-optimized Ga2PdRuRh structure, computed with PBEsol.

Computed properties:
V in Å³ per atom: 19.28
Energy of formation in eV per atom: 0.721

Lattice parameters (Å, degrees): 4.5573 4.5988 4.5988 90.00 90.00 90.00
Fractional coordinates of all 5 atoms:
Ru 0.0000 0.0000 0.0000
Pd 0.5000 0.5000 0.5000
Rh 0.5000 0.0000 0.0000
Ga 0.0000 0.5000 0.0000
Ga 0.0000 0.0000 0.5000

Record 2
A geometry-optimized YGaPdRh2 structure, computed with PBEsol.

Computed properties:
V in Å³ per atom: 19.97
Energy of formation in eV per atom: 0.400

Lattice parameters (Å, degrees): 4.4308 4.4308 5.0867 90.00 90.00 90.00
Fractional coordinates of all 5 atoms:
Y 0.0000 0.0000 0.5000
Rh 0.0000 0.5000 0.0000
Rh 0.5000 0.0000 0.0000
Pd 0.5000 0.5000 0.5000
Ga 0.0000 0.0000 0.0000

Record 3
A geometry-optimized TaGaPd2Ru structure, computed with PBEsol.

Computed properties:
V in Å³ per atom: 17.34
Energy of formation in eV per atom: 0.805

Lattice parameters (Å, degrees): 4.3952 4.3952 4.4868 90.00 90.00 90.00
Last column: magnetic moment on the atom in μB.
Fractional coordinates of all 5 atoms:
Pd 0.5000 0.0000 0.0000  0.09
Pd 0.0000 0.5000 0.0000  0.09
Ta 0.5000 0.5000 0.5000  0.62
Ru 0.0000 0.0000 0.5000  0.04
Ga 0.0000 0.0000 0.0000  0.00

Record 4
A geometry-optimized GaPdS2 structure, computed with PBEsol.

Computed properties:
V in Å³ per atom: 19.99
ΔE_f (raw) in meV per atom: -109.5

Lattice parameters (Å, degrees): 3.4695 3.4695 7.9264 77.36 77.36 60.00
Fractional coordinates of all 4 atoms:
Pd 0.5000 0.5000 0.5000
S 0.8894 0.8894 0.3319
S 0.1106 0.1106 0.6681
Ga 0.0000 0.0000 0.0000

Record 5
A geometry-optimized GaPd3S structure, computed with PBEsol.

Computed properties:
V in Å³ per atom: 17.60
ΔE_f (raw) in meV per atom: -41.7

Lattice parameters (Å, degrees): 4.4481 4.4481 4.4481 90.00 90.00 90.00
Fractional coordinates of all 5 atoms:
S 0.0000 0.0000 0.0000
Pd 0.5000 0.0000 0.0000
Pd 0.0000 0.0000 0.5000
Pd 0.0000 0.5000 0.0000
Ga 0.5000 0.5000 0.5000

Record 6
A geometry-optimized GaSbPd2 structure, computed with PBEsol.

Computed properties:
V in Å³ per atom: 16.60
ΔE_f (raw) in meV per atom: -364.6

Lattice parameters (Å, degrees): 4.5457 4.5457 4.5457 60.00 60.00 60.00
Fractional coordinates of all 4 atoms:
Sb 0.5000 0.5000 0.5000
Pd 0.7500 0.7500 0.7500
Pd 0.2500 0.2500 0.2500
Ga 0.0000 0.0000 0.0000

Record 7
A geometry-optimized ScGaPd structure, computed with PBEsol.

Computed properties:
V in Å³ per atom: 16.78
Energy of formation in eV per atom: -0.887

Lattice parameters (Å, degrees): 4.3483 6.1756 7.4978 90.00 90.00 90.00
Fractional coordinates of all 12 atoms:
Sc 0.7500 0.0093 0.2826
Sc 0.7500 0.5093 0.2174
Sc 0.2500 0.9907 0.7174
Sc 0.2500 0.4907 0.7826
Ga 0.7500 0.7004 0.5801
Ga 0.2500 0.2996 0.4199
Ga 0.2500 0.7996 0.0801
Ga 0.7500 0.2004 0.9199
Pd 0.2500 0.2343 0.0886
Pd 0.7500 0.2657 0.5886
Pd 0.7500 0.7657 0.9114
Pd 0.2500 0.7343 0.4114

Record 8
A geometry-optimized Sc2GaPd2 structure, computed with PBEsol.

Computed properties:
V in Å³ per atom: 19.36
Energy of formation in eV per atom: -0.529

Lattice parameters (Å, degrees): 5.0800 5.1939 5.0800 60.72 90.00 119.28
Fractional coordinates of all 5 atoms:
Sc 0.2500 0.5000 0.2500
Sc 0.7500 0.5000 0.7500
Pd 0.3360 0.6720 0.6640
Pd 0.6640 0.3280 0.3360
Ga 0.0000 0.0000 0.0000